## a
Density functional theory data (GGA-PBE) for a relaxed structure of BaTeCN2.

Cell and atoms, written as CIF:
```
data_BaTeCN2
_chemical_formula_sum 'Ba1 Te1 C1 N2'
_space_group_name_H-M_alt 'P 4/m m m'
_space_group_IT_number 123
_space_group_name_Hall '-P 4 2'
_cell_length_a 4.520
_cell_length_b 4.520
_cell_length_c 7.533
_cell_angle_alpha 90.00
_cell_angle_beta 90.00
_cell_angle_gamma 90.00
loop_
_atom_site_label
_atom_site_fract_x
_atom_site_fract_y
_atom_site_fract_z
_atom_site_occupancy
Ba1 0.000 0.000 0.000 1
Te1 0.000 0.000 0.500 1
C1 0.500 0.500 0.500 1
N1 0.000 0.500 0.000 1
```

---

## b
Density functional theory data (GGA-PBE) for a relaxed structure of BaTeCN2.

Cell and atoms, written as CIF:
```
data_BaTeCN2
_chemical_formula_sum 'Ba1 Te1 C1 N2'
_space_group_name_H-M_alt 'P 4/m m m'
_space_group_IT_number 123
_space_group_name_Hall '-P 4 2'
_cell_length_a 4.627
_cell_length_b 4.627
_cell_length_c 4.424
_cell_angle_alpha 90.00
_cell_angle_beta 90.00
_cell_angle_gamma 90.00
loop_
_atom_site_label
_atom_site_fract_x
_atom_site_fract_y
_atom_site_fract_z
_atom_site_occupancy
Ba1 0.000 0.000 0.000 1
Te1 0.500 0.500 0.000 1
C1 0.500 0.500 0.500 1
N1 0.000 0.500 0.500 1
```

---

Which one is most stable, and which one is least stable? b is the most stable of them, while a is the least stable.

---

## a
Density functional theory data (GGA-PBE) for a relaxed structure of BaNaC2.

Cell and atoms, written as CIF:
```
data_BaNaC2
_chemical_formula_sum 'Ba4 Na4 C8'
_space_group_name_H-M_alt 'I 41/a m d'
_space_group_IT_number 141
_cell_length_a 4.290
_cell_length_b 4.290
_cell_length_c 16.517
_cell_angle_alpha 90.00
_cell_angle_beta 90.00
_cell_angle_gamma 90.00
loop_
_space_group_symop_operation_xyz
'x,y,z'
'-x,-y,-z'
'-y+1/4,x+3/4,z+1/4'
'y+1/4,-x+3/4,-z+1/4'
'-x+1/2,-y,z+1/2'
'x+1/2,y,-z+1/2'
'y+1/4,-x+1/4,z+3/4'
'-y+1/4,x+1/4,-z+3/4'
'x,-y,-z'
'-x,y,z'
'-y+1/4,-x+1/4,-z+3/4'
'y+1/4,x+1/4,z+3/4'
'-x+1/2,y,-z+1/2'
'x+1/2,-y,z+1/2'
'y+1/4,x+3/4,-z+1/4'
'-y+1/4,-x+3/4,z+1/4'
'x+1/2,y+1/2,z+1/2'
'-x+1/2,-y+1/2,-z+1/2'
'-y+3/4,x+1/4,z+3/4'
'y+3/4,-x+1/4,-z+3/4'
'-x,-y+1/2,z'
'x,y+1/2,-z'
'y+3/4,-x+3/4,z+1/4'
'-y+3/4,x+3/4,-z+1/4'
'x+1/2,-y+1/2,-z+1/2'
'-x+1/2,y+1/2,z+1/2'
'-y+3/4,-x+3/4,-z+1/4'
'y+3/4,x+3/4,z+1/4'
'-x,y+1/2,-z'
'x,-y+1/2,z'
'y+3/4,x+1/4,-z+3/4'
'-y+3/4,-x+1/4,z+3/4'
loop_
_atom_site_label
_atom_site_fract_x
_atom_site_fract_y
_atom_site_fract_z
_atom_site_occupancy
Ba1 0.000 0.250 0.375 1
Na1 0.000 0.250 0.875 1
C1 0.000 0.000 0.000 1
```

---

## b
Density functional theory data (GGA-PBE) for a relaxed structure of BaNaC2.

Cell and atoms, written as CIF:
```
data_BaNaC2
_chemical_formula_sum 'Ba4 Na4 C8'
_space_group_name_H-M_alt 'F m -3 m'
_space_group_IT_number 225
_space_group_name_Hall '-F 4 2 3'
_cell_length_a 6.704
_cell_length_b 6.704
_cell_length_c 6.704
_cell_angle_alpha 90.00
_cell_angle_beta 90.00
_cell_angle_gamma 90.00
loop_
_atom_site_label
_atom_site_fract_x
_atom_site_fract_y
_atom_site_fract_z
_atom_site_occupancy
Ba1 0.000 0.000 0.000 1
Na1 0.000 0.000 0.500 1
C1 0.250 0.250 0.250 1
```

---

Which one is most stable, and which one is least stable? a is the most stable of them, while b is the least stable.

---

## a
Density functional theory data (GGA-PBE) for a relaxed structure of BaNa3PCO7.

Cell and atoms, written as CIF:
```
data_BaNa3PCO7
_chemical_formula_sum 'Ba2 Na6 P2 C2 O14'
_space_group_name_H-M_alt 'P 1 21 1'
_space_group_IT_number 4
_cell_length_a 5.595
_cell_length_b 7.229
_cell_length_c 9.320
_cell_angle_alpha 90.00
_cell_angle_beta 92.92
_cell_angle_gamma 90.00
loop_
_space_group_symop_operation_xyz
'x,y,z'
'-x,y+1/2,-z'
loop_
_atom_site_label
_atom_site_fract_x
_atom_site_fract_y
_atom_site_fract_z
_atom_site_occupancy
Ba1 0.039 0.000 0.172 1
Na1 0.031 0.817 0.517 1
Na2 0.462 0.556 0.354 1
Na3 0.476 0.725 0.001 1
P1 0.043 0.028 0.807 1
C1 0.444 0.488 0.662 1
O1 0.101 0.357 0.251 1
O2 0.119 0.151 0.680 1
O3 0.124 0.641 0.095 1
O4 0.255 0.547 0.589 1
O5 0.272 0.975 0.901 1
O6 0.377 0.920 0.405 1
O7 0.456 0.497 0.803 1
```

---

## b
Density functional theory data (GGA-PBE) for a relaxed structure of BaNa3PCO7.

Cell and atoms, written as CIF:
```
data_BaNa3PCO7
_chemical_formula_sum 'Ba2 Na6 P2 C2 O14'
_space_group_name_H-M_alt 'P 1 21/m 1'
_space_group_IT_number 11
_cell_length_a 5.244
_cell_length_b 7.381
_cell_length_c 10.046
_cell_angle_alpha 90.00
_cell_angle_beta 91.96
_cell_angle_gamma 90.00
loop_
_space_group_symop_operation_xyz
'x,y,z'
'-x,-y,-z'
'-x,y+1/2,-z'
'x,-y+1/2,z'
loop_
_atom_site_label
_atom_site_fract_x
_atom_site_fract_y
_atom_site_fract_z
_atom_site_occupancy
Ba1 0.245 0.250 0.397 1
Na1 0.224 0.750 0.074 1
Na2 0.249 0.018 0.781 1
P1 0.286 0.750 0.365 1
C1 0.281 0.250 0.072 1
O1 0.054 0.250 0.119 1
O2 0.170 0.580 0.295 1
O3 0.237 0.750 0.519 1
O4 0.310 0.250 0.943 1
O5 0.419 0.250 0.650 1
O6 0.485 0.250 0.151 1
```

---

Which one is most stable, and which one is least stable? a is the most stable of them, while b is the least stable.

---

## a
Density functional theory data (GGA-PBE) for a relaxed structure of BaNbSbC2.

Cell and atoms, written as CIF:
```
data_BaNbSbC2
_chemical_formula_sum 'Ba1 Nb1 Sb1 C2'
_space_group_name_H-M_alt 'P 4/m m m'
_space_group_IT_number 123
_space_group_name_Hall '-P 4 2'
_cell_length_a 4.571
_cell_length_b 4.571
_cell_length_c 5.978
_cell_angle_alpha 90.00
_cell_angle_beta 90.00
_cell_angle_gamma 90.00
loop_
_atom_site_label
_atom_site_fract_x
_atom_site_fract_y
_atom_site_fract_z
_atom_site_occupancy
Ba1 0.000 0.000 0.000 1
Nb1 0.000 0.000 0.500 1
Sb1 0.500 0.500 0.500 1
C1 0.000 0.500 0.000 1
```

---

## b
Density functional theory data (GGA-PBE) for a relaxed structure of BaNbSbC2.

Cell and atoms, written as CIF:
```
data_BaNbSbC2
_chemical_formula_sum 'Ba1 Nb1 Sb1 C2'
_space_group_name_H-M_alt 'P 4/m m m'
_space_group_IT_number 123
_space_group_name_Hall '-P 4 2'
_cell_length_a 4.469
_cell_length_b 4.469
_cell_length_c 5.496
_cell_angle_alpha 90.00
_cell_angle_beta 90.00
_cell_angle_gamma 90.00
loop_
_atom_site_label
_atom_site_fract_x
_atom_site_fract_y
_atom_site_fract_z
_atom_site_occupancy
Ba1 0.000 0.000 0.000 1
Nb1 0.500 0.500 0.500 1
Sb1 0.500 0.500 0.000 1
C1 0.000 0.500 0.500 1
```

---

Which one is most stable, and which one is least stable? b is the most stable of them, while a is the least stable.

---

## a
Density functional theory data (GGA-PBE) for a relaxed structure of Ba2CO.

Cell and atoms, written as CIF:
```
data_Ba2CO
_chemical_formula_sum 'Ba8 C4 O4'
_space_group_name_H-M_alt 'F m -3 m'
_space_group_IT_number 225
_space_group_name_Hall '-F 4 2 3'
_cell_length_a 7.002
_cell_length_b 7.002
_cell_length_c 7.002
_cell_angle_alpha 90.00
_cell_angle_beta 90.00
_cell_angle_gamma 90.00
loop_
_atom_site_label
_atom_site_fract_x
_atom_site_fract_y
_atom_site_fract_z
_atom_site_occupancy
Ba1 0.250 0.250 0.250 1
C1 0.000 0.000 0.000 1
O1 0.000 0.000 0.500 1
```

---

## b
Density functional theory data (GGA-PBE) for a relaxed structure of Ba2CO.

Cell and atoms, written as CIF:
```
data_Ba2CO
_chemical_formula_sum 'Ba8 C4 O4'
_space_group_name_H-M_alt 'I -4 2 d'
_space_group_IT_number 122
_space_group_name_Hall 'I -4 2bw'
_cell_length_a 6.981
_cell_length_b 6.981
_cell_length_c 9.175
_cell_angle_alpha 90.00
_cell_angle_beta 90.00
_cell_angle_gamma 90.00
loop_
_atom_site_label
_atom_site_fract_x
_atom_site_fract_y
_atom_site_fract_z
_atom_site_occupancy
Ba1 0.219 0.250 0.125 1
C1 0.000 0.000 0.500 1
O1 0.000 0.000 0.000 1
```

---

Which one is most stable, and which one is least stable? b is the most stable of them, while a is the least stable.

---

## a
Density functional theory data (GGA-PBE) for a relaxed structure of BaC3O.

Cell and atoms, written as CIF:
```
data_BaC3O
_chemical_formula_sum 'Ba1 C3 O1'
_space_group_name_H-M_alt 'P m -3 m'
_space_group_IT_number 221
_space_group_name_Hall '-P 4 2 3'
_cell_length_a 5.753
_cell_length_b 5.753
_cell_length_c 5.753
_cell_angle_alpha 90.00
_cell_angle_beta 90.00
_cell_angle_gamma 90.00
loop_
_atom_site_label
_atom_site_fract_x
_atom_site_fract_y
_atom_site_fract_z
_atom_site_occupancy
Ba1 0.000 0.000 0.000 1
C1 0.000 0.000 0.500 1
O1 0.500 0.500 0.500 1
```

---

## b
Density functional theory data (GGA-PBE) for a relaxed structure of BaC3O.

Cell and atoms, written as CIF:
```
data_BaC3O
_chemical_formula_sum 'Ba1 C3 O1'
_space_group_name_H-M_alt 'P m -3 m'
_space_group_IT_number 221
_space_group_name_Hall '-P 4 2 3'
_cell_length_a 4.096
_cell_length_b 4.096
_cell_length_c 4.096
_cell_angle_alpha 90.00
_cell_angle_beta 90.00
_cell_angle_gamma 90.00
loop_
_atom_site_label
_atom_site_fract_x
_atom_site_fract_y
_atom_site_fract_z
_atom_site_occupancy
Ba1 0.000 0.000 0.000 1
C1 0.000 0.500 0.500 1
O1 0.500 0.500 0.500 1
```

---

Which one is most stable, and which one is least stable? b is the most stable of them, while a is the least stable.

---

## a
Density functional theory data (GGA-PBE) for a relaxed structure of BaP2CO.

Cell and atoms, written as CIF:
```
data_BaP2CO
_chemical_formula_sum 'Ba1 P2 C1 O1'
_space_group_name_H-M_alt 'P 4/m m m'
_space_group_IT_number 123
_space_group_name_Hall '-P 4 2'
_cell_length_a 3.803
_cell_length_b 3.803
_cell_length_c 7.027
_cell_angle_alpha 90.00
_cell_angle_beta 90.00
_cell_angle_gamma 90.00
loop_
_atom_site_label
_atom_site_fract_x
_atom_site_fract_y
_atom_site_fract_z
_atom_site_occupancy
Ba1 0.000 0.000 0.000 1
P1 0.000 0.500 0.500 1
C1 0.500 0.500 0.500 1
O1 0.500 0.500 0.000 1
```

---

## b
Density functional theory data (GGA-PBE) for a relaxed structure of BaP2CO.

Cell and atoms, written as CIF:
```
data_BaP2CO
_chemical_formula_sum 'Ba1 P2 C1 O1'
_space_group_name_H-M_alt 'P 4/m m m'
_space_group_IT_number 123
_space_group_name_Hall '-P 4 2'
_cell_length_a 6.221
_cell_length_b 6.221
_cell_length_c 4.504
_cell_angle_alpha 90.00
_cell_angle_beta 90.00
_cell_angle_gamma 90.00
loop_
_atom_site_label
_atom_site_fract_x
_atom_site_fract_y
_atom_site_fract_z
_atom_site_occupancy
Ba1 0.000 0.000 0.000 1
P1 0.000 0.500 0.000 1
C1 0.500 0.500 0.500 1
O1 0.000 0.000 0.500 1
```

---

Which one is most stable, and which one is least stable? a is the most stable of them, while b is the least stable.

---

## a
Density functional theory data (GGA-PBE) for a relaxed structure of BaPCO2.

Cell and atoms, written as CIF:
```
data_BaPCO2
_chemical_formula_sum 'Ba1 P1 C1 O2'
_space_group_name_H-M_alt 'P 4/m m m'
_space_group_IT_number 123
_space_group_name_Hall '-P 4 2'
_cell_length_a 4.520
_cell_length_b 4.520
_cell_length_c 3.548
_cell_angle_alpha 90.00
_cell_angle_beta 90.00
_cell_angle_gamma 90.00
loop_
_atom_site_label
_atom_site_fract_x
_atom_site_fract_y
_atom_site_fract_z
_atom_site_occupancy
Ba1 0.000 0.000 0.000 1
P1 0.500 0.500 0.000 1
C1 0.500 0.500 0.500 1
O1 0.000 0.500 0.500 1
```

---

## b
Density functional theory data (GGA-PBE) for a relaxed structure of BaPCO2.

Cell and atoms, written as CIF:
```
data_BaPCO2
_chemical_formula_sum 'Ba1 P1 C1 O2'
_space_group_name_H-M_alt 'P 4/m m m'
_space_group_IT_number 123
_space_group_name_Hall '-P 4 2'
_cell_length_a 4.393
_cell_length_b 4.393
_cell_length_c 7.942
_cell_angle_alpha 90.00
_cell_angle_beta 90.00
_cell_angle_gamma 90.00
loop_
_atom_site_label
_atom_site_fract_x
_atom_site_fract_y
_atom_site_fract_z
_atom_site_occupancy
Ba1 0.000 0.000 0.000 1
P1 0.000 0.000 0.500 1
C1 0.500 0.500 0.500 1
O1 0.000 0.500 0.000 1
```

---

Which one is most stable, and which one is least stable? a is the most stable of them, while b is the least stable.